No. 1
{
  "formula": "LiAgIrO3",
  "functional": "PBE-GGA",
  "state": "relaxed",
  "final_energy_ha_per_atom": -0.204,
  "crystal_system": "orthorhombic",
  "cell": [[-1.273, 1.402, 2.480], [-7.757, -0.494, -3.701], [-1.527, -9.232, 4.434]],
  "species": ["O", "O", "O", "O", "O", "O", "O", "O", "O", "O", "O", "O", "Li", "Li", "Li", "Li", "Ag", "Ag", "Ag", "Ag", "Ir", "Ir", "Ir", "Ir"],
  "fractional_positions": [[0.750, 0.715, 0.177], [0.250, 0.983, 0.123], [0.750, 0.785, 0.677], [0.250, 0.758, 0.951], [0.750, 0.483, 0.377], [0.250, 0.215, 0.323], [0.750, 0.017, 0.877], [0.250, 0.285, 0.823], [0.750, 0.258, 0.549], [0.250, 0.517, 0.623], [0.750, 0.242, 0.049], [0.250, 0.742, 0.451], [0.750, 0.169, 0.224], [0.250, 0.831, 0.776], [0.250, 0.669, 0.276], [0.750, 0.331, 0.724], [0.250, 0.978, 0.387], [0.750, 0.478, 0.113], [0.750, 0.022, 0.613], [0.250, 0.522, 0.887], [0.250, 0.364, 0.462], [0.750, 0.864, 0.038], [0.750, 0.636, 0.538], [0.250, 0.136, 0.962]]
}



No. 2
{
  "formula": "Na2Zr2AlGaPt2",
  "functional": "PBE-GGA",
  "state": "relaxed",
  "final_energy_ha_per_atom": -0.196,
  "crystal_system": "tetragonal",
  "cell": [[4.617, 0.000, 0.000], [0.000, 4.617, 0.000], [0.000, 0.000, 6.533]],
  "species": ["Na", "Na", "Zr", "Zr", "Pt", "Pt", "Ga", "Al"],
  "fractional_positions": [[0.500, 0.000, 0.252], [0.000, 0.500, 0.748], [0.000, 0.000, 0.500], [0.500, 0.500, 0.000], [0.000, 0.500, 0.245], [0.500, 0.000, 0.755], [0.500, 0.500, 0.500], [0.000, 0.000, 0.000]]
}



No. 3
{
  "formula": "RbInFe",
  "functional": "PBE-GGA",
  "state": "relaxed",
  "de_polymorph_kcal_per_mol_atoms": 0.00,
  "crystal_system": "cubic",
  "cell": [[0.000, 3.451, 3.451], [3.451, 0.000, 3.451], [3.451, 3.451, 0.000]],
  "species": ["Fe", "Rb", "In"],
  "fractional_positions": [[0.000, 0.000, 0.000], [0.750, 0.750, 0.750], [0.250, 0.250, 0.250]]
}



No. 4
{
  "formula": "ScTaFeAs",
  "functional": "PBE-GGA",
  "state": "relaxed",
  "de_polymorph_kcal_per_mol_atoms": 0.00,
  "crystal_system": "cubic",
  "cell": [[3.881, -1.099, 1.950], [0.852, 1.322, 4.195], [0.066, -3.002, 3.325]],
  "species": ["Ta", "Sc", "Fe", "As"],
  "fractional_positions": [[0.500, 0.500, 0.500], [0.250, 0.250, 0.250], [0.750, 0.750, 0.750], [0.000, 0.000, 0.000]]
}



No. 5
{
  "formula": "NbTlCdSe3",
  "functional": "PBE-GGA",
  "state": "relaxed",
  "de_polymorph_kcal_per_mol_atoms": 0.00,
  "crystal_system": "monoclinic",
  "cell": [[7.968, 0.000, 0.000], [0.000, 3.772, 0.000], [-3.438, 0.000, 10.529]],
  "species": ["Tl", "Tl", "Se", "Se", "Se", "Se", "Se", "Se", "Nb", "Nb", "Cd", "Cd"],
  "fractional_positions": [[0.039, 0.250, 0.812], [0.961, 0.750, 0.188], [0.711, 0.250, 0.944], [0.710, 0.750, 0.640], [0.290, 0.250, 0.360], [0.248, 0.750, 0.638], [0.752, 0.250, 0.362], [0.289, 0.750, 0.056], [0.531, 0.750, 0.404], [0.469, 0.250, 0.596], [0.462, 0.750, 0.871], [0.538, 0.250, 0.129]]
}



No. 6
{
  "formula": "ZrGa2Si",
  "functional": "PBE-GGA",
  "state": "relaxed",
  "final_energy_ha_per_atom": -0.181,
  "crystal_system": "cubic",
  "cell": [[0.000, 3.324, 3.324], [3.324, 0.000, 3.324], [3.324, 3.324, 0.000]],
  "species": ["Ga", "Ga", "Si", "Zr"],
  "fractional_positions": [[0.750, 0.750, 0.750], [0.000, 0.000, 0.000], [0.500, 0.500, 0.500], [0.250, 0.250, 0.250]]
}



No. 7
{
  "formula": "K3HoBr6",
  "functional": "PBE-GGA",
  "state": "relaxed",
  "final_energy_ha_per_atom": -0.133,
  "crystal_system": "monoclinic",
  "cell": [[-6.121, 3.456, 3.545], [-4.472, -0.674, -7.066], [2.185, -13.469, -0.097]],
  "species": ["Br", "Br", "Br", "Br", "Br", "Br", "Br", "Br", "Br", "Br", "Br", "Br", "K", "K", "K", "K", "K", "K", "Ho", "Ho"],
  "fractional_positions": [[0.095, 0.446, 0.728], [0.242, 0.777, 0.576], [0.095, 0.054, 0.228], [0.656, 0.679, 0.441], [0.344, 0.321, 0.559], [0.758, 0.277, 0.924], [0.905, 0.946, 0.772], [0.758, 0.223, 0.424], [0.656, 0.821, 0.941], [0.344, 0.179, 0.059], [0.242, 0.723, 0.076], [0.905, 0.554, 0.272], [0.711, 0.580, 0.743], [0.711, 0.920, 0.243], [0.289, 0.420, 0.257], [0.500, 0.500, 0.000], [0.289, 0.080, 0.757], [0.500, 0.000, 0.500], [0.000, 0.500, 0.500], [0.000, 0.000, 0.000]]
}



No. 8
{
  "formula": "Pm2PrNO2",
  "functional": "PBE-GGA",
  "state": "relaxed",
  "final_energy_ha_per_atom": -0.286,
  "crystal_system": "trigonal",
  "cell": [[-1.656, 2.521, 1.885], [-1.560, -3.156, -0.504], [3.728, -3.008, 7.298]],
  "species": ["Pr", "O", "O", "Pm", "Pm", "N"],
  "fractional_positions": [[0.000, 0.000, 0.000], [0.667, 0.333, 0.829], [0.333, 0.667, 0.171], [0.333, 0.667, 0.662], [0.667, 0.333, 0.338], [0.000, 0.000, 0.500]]
}



no.,magnetization (μB per atom)
1,0.166
2,0.001
3,0.771
4,0.485
5,0.001
6,0.010
7,0.000
8,0.000